Ni2Pt2N | GGA-PBE | relaxed

Values from the calculation:
The calculation puts the raw formation energy at 726 meV/atom. Its density of states at the Fermi level is 19.89 states/eV/cell. Its energy above the most stable polymorph in this dataset is 0.000 eV per atom.

Unit cell a=5.628 b=5.628 c=4.219 alpha=90.00 beta=90.00 gamma=90.00
Space group P4/mbm (No. 127)
Asymmetric unit:
1 Ni 0.146 0.354 0.000 x4
2 Pt 0.177 0.677 0.500 x4
3 N 0.000 0.000 0.500 x2

=====

K4NaTl4 | GGA-PBE | relaxed

Values from the calculation:
Its energy of formation from the pure elements is -13 kJ/mol of formula units. Its density of states at the Fermi level is 8.81 states/eV/cell.

Unit cell a=5.804 b=5.804 c=24.555 alpha=90.00 beta=90.00 gamma=90.00
Space group I-42m (No. 121)
Asymmetric unit:
1 K 0.234 0.234 0.377 x8
2 Na 0.000 0.000 0.000 x2
3 Tl 0.232 0.232 0.216 x8